Entry 1:
An optimized crystal structure of CsMgCd2Hg4. Source: Alexandria via LeMat-Bulk, functional PBE.

Cell: 4.942 4.942 11.744 Å, 77.85 77.85 60.00°
Positions (direct):
Cs 0.000 0.000 0.000
Mg 0.500 0.500 0.500
Cd 0.769 0.769 0.693
Cd 0.231 0.231 0.307
Hg 0.406 0.406 0.781
Hg 0.863 0.863 0.410
Hg 0.137 0.137 0.590
Hg 0.594 0.594 0.219

The calculation puts the total energy at -0.0596 Ry per atom. As for the space group: R-3m (166). The size of the total moment is 0.0 μB/f.u. Its volume is 30.12 A^3/atom. As for the density: 8.16 g/cm³. The value obtained for the formation energy is -0.125 eV per atom.

---

Entry 2:
An optimized crystal structure of ErNi2Ag. Source: Alexandria via LeMat-Bulk, functional PBE.

Cell: 3.685 4.156 4.156 Å, 90.00 90.00 90.00°
Positions (direct):
Ni 0.000 0.000 0.500
Ni 0.000 0.500 0.000
Ag 0.500 0.000 0.000
Er 0.500 0.500 0.500

The calculation puts the total energy at -0.3648 Ry per atom. As for the space group: P4/mmm (123). The size of the total moment is 0.0 μB/f.u. The value obtained for the energy above the lowest structure with this stoichiometry is 0.0000 eV per atom. Its volume is 15.91 A^3/atom. As for the density: 10.24 g/cm³. The value obtained for the formation energy is -0.219 eV per atom.

---

Entry 3:
An optimized crystal structure of SmGdHoAg. Source: Alexandria via LeMat-Bulk, functional PBE.

Cell: 5.398 5.398 5.398 Å, 60.00 60.00 60.00°
Positions (direct):
Ag 0.250 0.250 0.250
Gd 0.750 0.750 0.750
Ho 0.000 0.000 0.000
Sm 0.500 0.500 0.500

The calculation puts the total energy at -0.4769 Ry per atom. As for the space group: F-43m (216). The size of the total moment is 8.0 μB/f.u. Its volume is 27.81 A^3/atom. As for the density: 8.67 g/cm³. The value obtained for the formation energy is 0.069 eV per atom.

---

Entry 4:
An optimized crystal structure of TmPa2W. Source: Alexandria via LeMat-Bulk, functional PBE.

Cell: 3.318 3.318 10.216 Å, 80.65 80.65 60.00°
Positions (direct):
Pa 0.259 0.259 0.223
Pa 0.741 0.741 0.777
Tm 0.500 0.500 0.500
W 0.000 0.000 0.000

The calculation puts the total energy at -0.6379 Ry per atom. As for the space group: R-3m (166). The size of the total moment is 0.0 μB/f.u. Its volume is 23.93 A^3/atom. As for the density: 14.14 g/cm³. The value obtained for the formation energy is 0.425 eV per atom.

---

Entry 5:
An optimized crystal structure of CrAs3Cl. Source: Alexandria via LeMat-Bulk, functional PBE.

Cell: 4.836 4.836 4.836 Å, 90.00 90.00 90.00°
Positions (direct):
Cr 0.500 0.500 0.500
As 0.000 0.500 0.000
As 0.000 0.000 0.500
As 0.500 0.000 0.000
Cl 0.000 0.000 0.000

The calculation puts the total energy at -0.2883 Ry per atom. As for the formation energy without anion corrections: 1.16 eV per atom. As for the space group: Pm-3m (221). The size of the total moment is 3.0 μB/f.u. The value obtained for the energy above the lowest structure with this stoichiometry is 0.9727 eV per atom. Its volume is 22.62 A^3/atom. As for the density: 4.58 g/cm³.

---

Entry 6:
An optimized crystal structure of Y2InPb. Source: Alexandria via LeMat-Bulk, functional PBE.

Cell: 6.397 6.397 4.812 Å, 67.96 67.96 38.29°
Positions (direct):
Pb 0.237 0.237 0.262
Y 0.998 0.998 0.002
Y 0.752 0.752 0.748
In 0.513 0.513 0.488

The calculation puts the total energy at -0.3916 Ry per atom. As for the space group: Cm (8). The size of the total moment is 0.0 μB/f.u. Its volume is 27.99 A^3/atom. As for the density: 7.41 g/cm³. The value obtained for the formation energy is -0.484 eV per atom.

---

Entry 7:
An optimized crystal structure of AcLaCd3. Source: Alexandria via LeMat-Bulk, functional PBE.

Cell: 3.811 5.141 15.493 Å, 90.00 97.06 90.00°
Positions (direct):
Ac 0.926 0.750 0.852
Ac 0.074 0.250 0.148
La 0.212 0.750 0.425
La 0.788 0.250 0.575
Cd 0.621 0.750 0.243
Cd 0.379 0.250 0.757
Cd 0.524 0.750 0.048
Cd 0.476 0.250 0.952
Cd 0.675 0.250 0.350
Cd 0.325 0.750 0.650

The calculation puts the total energy at -0.1961 Ry per atom. As for the space group: Cmcm (63). The size of the total moment is 0.0 μB/f.u. The value obtained for the energy above the lowest structure with this stoichiometry is 0.0000 eV per atom. Its volume is 30.12 A^3/atom. As for the density: 7.75 g/cm³. The value obtained for the formation energy is -0.311 eV per atom.

---

Entry 8:
An optimized crystal structure of NaNp2Cl8. Source: Alexandria via LeMat-Bulk, functional PBE.

Cell: 7.225 6.982 6.982 Å, 75.58 99.58 99.58°
Positions (direct):
Na 0.000 0.000 0.000
Np 0.449 0.688 0.688
Np 0.551 0.312 0.312
Cl 0.325 0.331 0.948
Cl 0.675 0.052 0.669
Cl 0.175 0.804 0.804
Cl 0.825 0.196 0.196
Cl 0.325 0.948 0.331
Cl 0.675 0.669 0.052
Cl 0.733 0.561 0.561
Cl 0.267 0.439 0.439

The calculation puts the total energy at -0.4060 Ry per atom. As for the formation energy without anion corrections: -1.71 eV per atom. As for the space group: C2/m (12). The size of the total moment is 7.0 μB/f.u. The value obtained for the energy above the lowest structure with this stoichiometry is 0.0000 eV per atom. Its volume is 30.31 A^3/atom. As for the density: 3.89 g/cm³.

---

Entry 9:
An optimized crystal structure of CoIr2Au. Source: Alexandria via LeMat-Bulk, functional PBE.

Cell: 2.733 2.733 9.320 Å, 90.00 90.00 120.12°
Positions (direct):
Au 0.000 0.000 0.511
Co 0.500 0.500 0.762
Ir 0.000 0.000 0.989
Ir 0.500 0.500 0.237

The calculation puts the total energy at -0.4892 Ry per atom. As for the space group: Cmm2 (35). The size of the total moment is 1.8 μB/f.u. The value obtained for the energy above the lowest structure with this stoichiometry is 0.1924 eV per atom. Its volume is 15.06 A^3/atom. As for the density: 17.66 g/cm³. The value obtained for the formation energy is 0.370 eV per atom.

---

Entry 10:
An optimized crystal structure of CuSiRu2. Source: Alexandria via LeMat-Bulk, functional PBE.

Cell: 3.950 2.761 4.959 Å, 73.82 90.00 90.00°
Positions (direct):
Cu 0.500 0.556 0.763
Ru 0.000 0.955 0.965
Ru 0.500 0.292 0.289
Si 0.000 0.696 0.483

The calculation puts the total energy at -0.5214 Ry per atom. As for the formation energy without anion corrections: -0.08 eV per atom. As for the space group: Amm2 (38). The size of the total moment is 0.0 μB/f.u. Its volume is 12.99 A^3/atom. As for the density: 9.39 g/cm³.

---

Entry 11:
An optimized crystal structure of La5Nd4Er2. Source: Alexandria via LeMat-Bulk, functional PBE.

Cell: 3.607 8.893 12.441 Å, 94.43 98.34 90.00°
Positions (direct):
La 0.818 0.524 0.635
La 0.182 0.476 0.365
La 0.869 0.953 0.738
La 0.500 0.000 0.000
La 0.131 0.047 0.262
Nd 0.273 0.175 0.547
Nd 0.961 0.652 0.921
Nd 0.727 0.825 0.453
Nd 0.039 0.348 0.079
Er 0.414 0.304 0.827
Er 0.586 0.696 0.173

The calculation puts the total energy at -0.3466 Ry per atom. As for the space group: C2/m (12). The size of the total moment is 0.0 μB/f.u. The value obtained for the energy above the lowest structure with this stoichiometry is 0.0141 eV per atom. Its volume is 35.79 A^3/atom. As for the density: 6.77 g/cm³. The value obtained for the formation energy is 0.087 eV per atom.

---

Entry 12:
An optimized crystal structure of Y2Pu2Se7. Source: Alexandria via LeMat-Bulk, functional PBE.

Cell: 4.920 4.920 13.061 Å, 90.00 90.00 90.00°
Positions (direct):
Y 0.500 0.000 0.862
Y 0.000 0.500 0.138
Pu 0.500 0.000 0.376
Pu 0.000 0.500 0.624
Se 0.500 0.500 0.000
Se 0.000 0.000 0.232
Se 0.500 0.500 0.257
Se 0.000 0.000 0.500
Se 0.500 0.500 0.500
Se 0.000 0.000 0.768
Se 0.500 0.500 0.743

The calculation puts the total energy at -0.5427 Ry per atom. As for the formation energy without anion corrections: -1.39 eV per atom. As for the space group: P-4m2 (115). The size of the total moment is 8.9 μB/f.u. Its volume is 28.75 A^3/atom. As for the density: 6.40 g/cm³.

---

Entry 13:
An optimized crystal structure of InReBr2. Source: Alexandria via LeMat-Bulk, functional PBE.

Cell: 5.453 5.453 5.482 Å, 119.85 119.85 89.94°
Positions (direct):
Re 0.750 0.250 0.500
Br 0.000 0.000 0.000
Br 0.500 0.500 0.000
In 0.250 0.750 0.500

The calculation puts the total energy at -0.2630 Ry per atom. As for the formation energy without anion corrections: 1.05 eV per atom. As for the space group: Fmmm (69). The size of the total moment is 5.8 μB/f.u. The value obtained for the energy above the lowest structure with this stoichiometry is 0.8849 eV per atom. Its volume is 28.97 A^3/atom. As for the density: 6.60 g/cm³.

---

Entry 14:
An optimized crystal structure of CaMg2B. Source: Alexandria via LeMat-Bulk, functional PBE.

Cell: 6.228 6.228 7.439 Å, 65.26 65.26 90.00°
Positions (direct):
Ca 0.000 0.000 0.000
Ca 0.750 0.250 0.500
B 0.500 0.500 0.000
B 0.250 0.750 0.500
Mg 0.375 0.125 0.250
Mg 0.375 0.625 0.250
Mg 0.375 0.625 0.750
Mg 0.875 0.625 0.750

The calculation puts the total energy at -0.1715 Ry per atom. As for the space group: I4_1/amd (141). The size of the total moment is 0.0 μB/f.u. Its volume is 29.07 A^3/atom. As for the density: 1.42 g/cm³. The value obtained for the formation energy is 0.634 eV per atom.

---

Entry 15:
An optimized crystal structure of Sr2GaSi3Pt4. Source: Alexandria via LeMat-Bulk, functional PBE.

Cell: 4.350 4.350 10.046 Å, 90.00 90.00 90.00°
Positions (direct):
Sr 0.500 0.000 0.252
Sr 0.000 0.500 0.748
Ga 0.500 0.500 0.500
Si 0.000 0.000 0.500
Si 0.500 0.000 0.876
Si 0.000 0.500 0.124
Pt 0.500 0.500 0.000
Pt 0.000 0.000 0.000
Pt 0.500 0.000 0.631
Pt 0.000 0.500 0.369

The calculation puts the total energy at -0.4112 Ry per atom. As for the formation energy without anion corrections: -0.91 eV per atom. As for the space group: P-4m2 (115). The size of the total moment is 0.0 μB/f.u. Its volume is 19.01 A^3/atom. As for the density: 9.69 g/cm³.